Below is an optimized crystal structure of NaMgTl3, with properties calculated at the PBE level.

Values from the calculation:
Mass density = 6.3 g cm⁻³
ΔE to the lowest computed polymorph = 455.7 meV per atom
E_form = 0.40 eV per atom
D(E_F) = 3.52 states/eV/f.u.
Size of the total moment = 0.00 μB per formula unit

a = 5.5805 Å, b = 5.5805 Å, c = 5.5805 Å
α = 90.00°, β = 90.00°, γ = 90.00°
Last column: nearest neighbours and their distance in Å.
Space group Pm-3m (No. 221)
Asymmetric unit:
Na 0.0000 0.0000 0.0000 (multiplicity 1)  6 Tl 2.79
Mg 0.5000 0.5000 0.5000 (multiplicity 1)  12 Tl 3.95
Tl 0.0000 0.0000 0.5000 (multiplicity 3)  2 Na 2.79